{"formula": "MgNpPd14", "functional": "GGA-PBE", "state": "optimized geometry", "ef_ev_per_atom": -0.2551, "lattice": [[-3.284, 1.265, -4.500], [-4.643, -0.243, 3.319], [0.745, 7.629, 1.601]], "species": ["Pd", "Pd", "Pd", "Pd", "Pd", "Pd", "Pd", "Pd", "Pd", "Pd", "Pd", "Pd", "Pd", "Pd", "Mg", "Np"], "frac_coords": [[0.125, 0.625, 0.750], [0.125, 0.125, 0.750], [0.375, 0.875, 0.000], [0.125, 0.625, 0.250], [0.875, 0.375, 0.500], [0.375, 0.375, 0.000], [0.625, 0.625, 0.750], [0.625, 0.625, 0.250], [0.125, 0.125, 0.250], [0.625, 0.125, 0.750], [0.875, 0.375, 0.000], [0.625, 0.125, 0.250], [0.875, 0.875, 0.000], [0.375, 0.875, 0.500], [0.875, 0.875, 0.500], [0.375, 0.375, 0.500]]}

{"formula": "Li2Er2TmIn5", "functional": "GGA-PBE", "state": "optimized geometry", "ef_ev_per_atom": -0.3471, "lattice": [[-3.130, -2.961, 0.825], [5.155, -6.970, -5.462], [4.998, -2.928, 8.453]], "species": ["Li", "Li", "Li", "Li", "In", "In", "In", "In", "In", "In", "In", "In", "In", "In", "Tm", "Tm", "Er", "Er", "Er", "Er"], "frac_coords": [[0.000, 0.620, 0.880], [0.000, 0.120, 0.620], [0.000, 0.880, 0.380], [0.000, 0.380, 0.120], [0.500, 0.500, 0.000], [0.500, 0.074, 0.789], [0.500, 0.000, 0.500], [0.500, 0.211, 0.074], [0.500, 0.711, 0.426], [0.500, 0.574, 0.711], [0.500, 0.426, 0.289], [0.500, 0.926, 0.211], [0.500, 0.789, 0.926], [0.500, 0.289, 0.574], [0.000, 0.000, 0.000], [0.000, 0.500, 0.500], [0.000, 0.175, 0.325], [0.000, 0.325, 0.825], [0.000, 0.825, 0.675], [0.000, 0.675, 0.175]]}

{"formula": "LaGa4Ag", "functional": "GGA-PBE", "state": "optimized geometry", "relative_energy_mev_per_atom": 0.0, "ef_ev_per_atom": -0.2991, "lattice": [[3.967, 0.000, 0.000], [0.000, 8.131, 0.000], [0.000, 0.000, 15.862]], "species": ["La", "La", "La", "La", "Ag", "Ag", "Ag", "Ag", "Ga", "Ga", "Ga", "Ga", "Ga", "Ga", "Ga", "Ga", "Ga", "Ga", "Ga", "Ga", "Ga", "Ga", "Ga", "Ga"], "frac_coords": [[0.000, 0.627, 0.348], [0.000, 0.127, 0.152], [0.000, 0.873, 0.848], [0.000, 0.373, 0.652], [0.000, 0.367, 0.910], [0.000, 0.867, 0.590], [0.000, 0.633, 0.090], [0.000, 0.133, 0.410], [0.500, 0.369, 0.464], [0.500, 0.131, 0.964], [0.500, 0.713, 0.688], [0.500, 0.021, 0.695], [0.500, 0.213, 0.812], [0.500, 0.118, 0.549], [0.500, 0.287, 0.312], [0.500, 0.479, 0.195], [0.500, 0.869, 0.036], [0.500, 0.382, 0.049], [0.500, 0.521, 0.805], [0.500, 0.631, 0.536], [0.500, 0.882, 0.451], [0.500, 0.618, 0.951], [0.500, 0.979, 0.305], [0.500, 0.787, 0.188]]}

{"formula": "ZnTe2Au", "functional": "GGA-PBE", "state": "optimized geometry", "final_energy_ev_per_atom": -2.90, "lattice": [[6.256, 0.000, 0.000], [0.000, 6.256, 0.000], [3.128, 3.128, 6.173]], "species": ["Te", "Te", "Te", "Te", "Au", "Au", "Zn", "Zn"], "frac_coords": [[0.133, 0.625, 0.250], [0.617, 0.125, 0.250], [0.875, 0.867, 0.750], [0.375, 0.383, 0.750], [0.000, 0.000, 0.000], [0.750, 0.250, 0.500], [0.500, 0.500, 0.000], [0.250, 0.750, 0.500]]}

{"formula": "LaZn2MoRu", "functional": "GGA-PBE", "state": "optimized geometry", "ef_ev_per_atom": 1.1826, "lattice": [[-0.277, -2.462, 4.251], [-0.917, -4.283, -2.541], [4.831, -0.909, -0.212]], "species": ["Zn", "Zn", "Mo", "Ru", "La"], "frac_coords": [[0.000, 0.000, 0.500], [0.500, 0.000, 0.000], [0.000, 0.000, 0.000], [0.500, 0.500, 0.500], [0.000, 0.500, 0.000]]}

{"formula": "BaAc2Au", "functional": "GGA-PBE", "state": "optimized geometry", "relative_energy_mev_per_atom": 26.2, "ef_ev_per_atom": -0.2963, "lattice": [[4.359, 0.000, 0.000], [2.179, 3.775, 0.000], [2.179, 1.258, 10.917]], "species": ["Ac", "Ac", "Au", "Ba"], "frac_coords": [[0.059, 0.059, 0.823], [0.275, 0.275, 0.176], [0.666, 0.666, 0.001], [0.500, 0.500, 0.499]]}

| no. | DOS(E_F) (states/eV/cell) |
| --- | --- |
| 1 | 29.70 |
| 2 | 10.88 |
| 3 | 9.11 |
| 4 | 6.95 |
| 5 | 5.46 |
| 6 | 5.79 |